Density functional theory data (meta-GGA SCAN) for a crystal of AlZn2Cl relaxed with PBEsol.

Output
N(E_F) (states/eV per cell): 1.0
Formation energy without anion corrections (eV/atom): 0.18

Unit cell a=3.763 b=3.763 c=5.407 alpha=90.00 beta=90.00 gamma=90.00
Space group P4/mmm (No. 123)
One atom of each set of equivalent atoms:
Al: 0.000 0.000 0.000 x1
Zn: 0.000 0.500 0.500 x2
Cl: 0.500 0.500 0.000 x1

=====

Density functional theory data (meta-GGA SCAN) for a crystal of BAsI2Br relaxed with PBEsol.

Output
N(E_F) (states/eV per cell): 5.3
Formation energy without anion corrections (eV/atom): 0.88

Unit cell a=5.688 b=5.688 c=4.221 alpha=90.00 beta=90.00 gamma=90.00
Space group P4/mmm (No. 123)
One atom of each set of equivalent atoms:
B: 0.000 0.000 0.000 x1
As: 0.000 0.000 0.500 x1
I: 0.000 0.500 0.500 x2
Br: 0.500 0.500 0.000 x1

=====

Density functional theory data (meta-GGA SCAN) for a crystal of La2MgBe relaxed with PBEsol.

Output
Energy of formation from the pure elements (eV per atom): 0.2127
N(E_F) (states/eV per cell): 7.6

Unit cell a=4.512 b=4.512 c=9.793 alpha=90.00 beta=90.00 gamma=90.00
Space group I-4m2 (No. 119)
One atom of each set of equivalent atoms:
La: 0.000 0.000 0.000 x2
La: 0.000 0.500 0.250 x2
Mg: 0.000 0.000 0.500 x2
Be: 0.000 0.500 0.750 x2

=====

Density functional theory data (meta-GGA SCAN) for a crystal of CoTeBr relaxed with PBEsol.

Output
Formation energy without anion corrections (eV/atom): -0.31

Unit cell a=3.5761 b=3.5761 c=18.4527 alpha=90.00 beta=90.00 gamma=120.00
Space group R3m (No. 160, hexagonal axes)
One atom of each set of equivalent atoms:
Co: 0.0000 0.0000 0.0000 x3
Te: 0.0000 0.0000 0.7401 x3
Br: 0.0000 0.0000 0.2580 x3

=====

Density functional theory data (meta-GGA SCAN) for a crystal of BaLa2Ni relaxed with PBEsol.

Output
Energy of formation from the pure elements (eV per atom): -0.0699
N(E_F) (states/eV per cell): 12.5

Unit cell a=4.0716 b=4.0716 c=29.5268 alpha=90.00 beta=90.00 gamma=120.00
Space group R-3m (No. 166, hexagonal axes)
One atom of each set of equivalent atoms:
Ba: 0.0000 0.0000 0.0000 x3
La: 0.0000 0.0000 0.2176 x6
Ni: 0.0000 0.0000 0.5000 x3

=====

Density functional theory data (meta-GGA SCAN) for a crystal of MgRhAu relaxed with PBEsol.

Output
Energy of formation from the pure elements (eV per atom): -0.0525
N(E_F) (states/eV per cell): 7.2

Unit cell a=5.936 b=5.936 c=5.936 alpha=90.00 beta=90.00 gamma=90.00
Space group F-43m (No. 216)
One atom of each set of equivalent atoms:
Mg: 0.000 0.000 0.000 x4
Rh: 0.250 0.250 0.250 x4
Au: 0.250 0.250 0.750 x4

=====

Density functional theory data (meta-GGA SCAN) for a crystal of ReNi relaxed with PBEsol.

Output
Energy of formation from the pure elements (eV per atom): 0.9336
N(E_F) (states/eV per cell): 6.5

Unit cell a=3.7699 b=3.7699 c=4.4694 alpha=90.00 beta=90.00 gamma=120.00
Space group P6_3/mmc (No. 194)
One atom of each set of equivalent atoms:
Re: 0.3333 0.6667 0.2500 x2
Ni: 0.0000 0.0000 0.0000 x2

=====

Density functional theory data (meta-GGA SCAN) for a crystal of ZrTa2Hg relaxed with PBEsol.

Output
Energy of formation from the pure elements (eV per atom): 0.0356
N(E_F) (states/eV per cell): 7.3

Unit cell a=3.485 b=4.679 c=9.354 alpha=90.00 beta=90.00 gamma=90.00
Space group Cmm2 (No. 35)
One atom of each set of equivalent atoms:
Zr: 0.000 0.000 0.000 x2
Ta: 0.000 0.000 0.481 x2
Ta: 0.000 0.500 0.249 x2
Hg: 0.000 0.500 0.734 x2

=====

Density functional theory data (meta-GGA SCAN) for a crystal of ScMoBr2 relaxed with PBEsol.

Output
N(E_F) (states/eV per cell): 2.8
Formation energy without anion corrections (eV/atom): -0.42

Unit cell a=3.652 b=3.319 c=7.669 alpha=90.00 beta=103.63 gamma=90.00
Space group Pm (No. 6)
One atom of each set of equivalent atoms:
Sc: 0.000 0.000 0.000 x1
Mo: 0.410 0.500 0.818 x1
Br: 0.283 0.000 0.563 x1
Br: 0.588 0.500 0.178 x1

=====

Density functional theory data (meta-GGA SCAN) for a crystal of Sr3SnPb relaxed with PBEsol.

Output
Energy of formation from the pure elements (eV per atom): -0.2570
N(E_F) (states/eV per cell): 8.4

Unit cell a=6.167 b=6.167 c=6.167 alpha=90.00 beta=90.00 gamma=90.00
Space group Pm-3m (No. 221)
One atom of each set of equivalent atoms:
Sr: 0.000 0.000 0.500 x3
Sn: 0.000 0.000 0.000 x1
Pb: 0.500 0.500 0.500 x1

=====

Density functional theory data (meta-GGA SCAN) for a crystal of K2AlMo relaxed with PBEsol.

Output
Energy of formation from the pure elements (eV per atom): 0.7563
N(E_F) (states/eV per cell): 4.2

Unit cell a=9.027 b=2.850 c=9.929 alpha=90.00 beta=92.13 gamma=90.00
Space group Cm (No. 8)
One atom of each set of equivalent atoms:
K: 0.000 0.000 0.000 x2
K: 0.237 0.000 0.578 x2
Al: 0.245 0.500 0.248 x2
Mo: 0.477 0.000 0.324 x2

=====

Density functional theory data (meta-GGA SCAN) for a crystal of BaNd2Mo4O16 relaxed with PBEsol.

Output
N(E_F) (states/eV per cell): 0.0
Formation energy without anion corrections (eV/atom): -2.75

Unit cell a=5.298 b=12.732 c=19.365 alpha=90.00 beta=91.42 gamma=90.00
Space group C2/c (No. 15)
One atom of each set of equivalent atoms:
Ba: 0.000 0.034 0.250 x4
Nd: 0.002 0.147 0.467 x8
Mo: 0.007 0.257 0.849 x8
Mo: 0.010 0.441 0.093 x8
O: 0.128 0.415 0.330 x8
O: 0.133 0.137 0.825 x8
O: 0.151 0.330 0.047 x8
O: 0.158 0.241 0.569 x8
O: 0.208 0.302 0.713 x8
O: 0.227 0.455 0.606 x8
O: 0.241 0.150 0.138 x8
O: 0.249 0.483 0.464 x8